Computed, not measured: a relaxed structure of BaTiNbCr2 at the PBE level of DFT.

formation energy from the elements: 1010 meV per atom
total DFT energy (no corrections): -6.82 eV/atom
mass density: 5.01 Mg/m³

a b c (Å): 5.0762 4.9138 5.0762
angles (deg): 90.00 90.00 90.00
With the nearest neighbours (Å) after each atom.
Atoms (fractional coordinates):
Cr 0.5000 0.0000 0.0000  2 Nb 2.54
Ti 0.0000 0.5000 0.0000  2 Nb 2.46
Ba 0.5000 0.5000 0.5000  8 Cr 3.53, 4 Ti 3.59
Nb 0.0000 0.0000 0.0000  2 Ti 2.46, 4 Cr 2.54
Cr 0.0000 0.0000 0.5000  2 Nb 2.54